Entry 1:
# SmErTiN3

A relaxed structure of SmErTiN3 (GGA-PBE, Alexandria via LeMat-Bulk).

Magnetic moment, μB/atom: 0.0000
Volume, Å³ per atom: 16.04
Energy relative to the elements, uncorrected, eV/atom: -1.35

abc: 7.1187 3.5272 7.7469
angles: 90.00 98.37 90.00
Closest atoms and distances in Å follow each position.
Space group P2_1/m (No. 11)
Inequivalent atoms, fractional coordinates:
1 Sm 0.1688 0.2500 0.1668 x2  5 N 2.42-2.65
2 Er 0.3671 0.7500 0.8450 x2  3 N 2.25-2.39
3 Ti 0.1027 0.2500 0.5987 x2  4 N 1.95-2.06
4 N 0.1114 0.2500 0.8510 x2  1 Ti 1.95
5 N 0.1757 0.7500 0.5208 x2  3 Ti 1.96-2.06
6 N 0.4040 0.7500 0.1387 x2  3 Er 2.25-2.39, 2 Sm 2.46



Entry 2:
# Sm2ErTlN

A relaxed structure of Sm2ErTlN (GGA-PBE, Alexandria via LeMat-Bulk).

Magnetic moment, μB/atom: 0.0000
Volume, Å³ per atom: 23.52
Energy relative to the elements, uncorrected, eV/atom: -0.89

abc: 4.9648 4.9648 4.7702
angles: 90.00 90.00 90.00
Closest atoms and distances in Å follow each position.
Space group P4/mmm (No. 123)
Inequivalent atoms, fractional coordinates:
1 Sm 0.0000 0.5000 0.0000 x2  2 N 2.48
2 Er 0.0000 0.0000 0.5000 x1  2 N 2.39
3 Tl 0.5000 0.5000 0.5000 x1  8 Sm 3.44, 4 Er 3.51
4 N 0.0000 0.0000 0.0000 x1  2 Er 2.39, 4 Sm 2.48



Entry 3:
# SmEr2TlN

A relaxed structure of SmEr2TlN (GGA-PBE, Alexandria via LeMat-Bulk).

Magnetic moment, μB/atom: 0.0000
Volume, Å³ per atom: 22.60
Energy relative to the elements, uncorrected, eV/atom: -0.92

abc: 4.7787 4.7787 4.9477
angles: 90.00 90.00 90.00
Closest atoms and distances in Å follow each position.
Space group P4/mmm (No. 123)
Inequivalent atoms, fractional coordinates:
1 Sm 0.0000 0.0000 0.0000 x1  2 N 2.47
2 Er 0.0000 0.5000 0.5000 x2  2 N 2.39
3 Tl 0.5000 0.5000 0.0000 x1  4 Sm 3.38, 8 Er 3.44
4 N 0.0000 0.0000 0.5000 x1  4 Er 2.39, 2 Sm 2.47



Entry 4:
# SmErTm2N4

A relaxed structure of SmErTm2N4 (GGA-PBE, Alexandria via LeMat-Bulk).

Magnetic moment, μB/atom: 0.0000
Volume, Å³ per atom: 14.61
Energy relative to the elements, uncorrected, eV/atom: -1.71

abc: 5.9875 3.4572 5.9882
angles: 90.00 109.44 90.00
Closest atoms and distances in Å follow each position.
Space group P2/m (No. 10)
Inequivalent atoms, fractional coordinates:
1 Sm 0.0000 0.0000 0.0000 x1  6 N 2.48
2 Er 0.5000 0.5000 0.0000 x1  6 N 2.45
3 Tm 0.0000 0.5000 0.5000 x1  6 N 2.44
4 Tm 0.5000 0.0000 0.5000 x1  6 N 2.41
5 N 0.2528 0.0000 0.7452 x2  3 Tm 2.41-2.44, 2 Er 2.45, 1 Sm 2.48
6 N 0.2572 0.5000 0.2583 x2  3 Tm 2.41-2.44, 1 Er 2.45, 2 Sm 2.48



Entry 5:
# SmEr2TmN4

A relaxed structure of SmEr2TmN4 (GGA-PBE, Alexandria via LeMat-Bulk).

Magnetic moment, μB/atom: 0.0000
Volume, Å³ per atom: 14.70
Energy relative to the elements, uncorrected, eV/atom: -1.70

abc: 5.9988 3.4640 5.9994
angles: 90.00 109.44 90.00
Closest atoms and distances in Å follow each position.
Space group P2/m (No. 10)
Inequivalent atoms, fractional coordinates:
1 Sm 0.0000 0.0000 0.0000 x1  6 N 2.48
2 Er 0.5000 0.0000 0.5000 x1  6 N 2.42
3 Er 0.5000 0.5000 0.0000 x1  6 N 2.45-2.46
4 Tm 0.0000 0.5000 0.5000 x1  6 N 2.44
5 N 0.2522 0.0000 0.7457 x2  3 Er 2.42-2.46, 2 Tm 2.44, 1 Sm 2.48
6 N 0.2562 0.5000 0.2572 x2  3 Er 2.42-2.45, 1 Tm 2.44, 2 Sm 2.48



Entry 6:
# SmEr2UN4

A relaxed structure of SmEr2UN4 (GGA-PBE, Alexandria via LeMat-Bulk).

Magnetic moment, μB/atom: 0.1914
Volume, Å³ per atom: 14.71
Energy relative to the elements, uncorrected, eV/atom: -1.59

abc: 5.9799 3.4636 6.0122
angles: 90.00 109.04 90.00
Closest atoms and distances in Å follow each position.
Space group P2/m (No. 10)
Inequivalent atoms, fractional coordinates:
1 Sm 0.0000 0.0000 0.0000 x1  6 N 2.49-2.50
2 Er 0.5000 0.0000 0.5000 x1  6 N 2.39-2.41
3 Er 0.5000 0.5000 0.0000 x1  6 N 2.49-2.57
4 U 0.0000 0.5000 0.5000 x1  6 N 2.32-2.42
5 N 0.2461 0.5000 0.2719 x2  1 U 2.32, 3 Er 2.41-2.57, 2 Sm 2.50
6 N 0.2481 0.0000 0.7383 x2  3 Er 2.39-2.49, 2 U 2.42, 1 Sm 2.49



Entry 7:
# SmEr2VN4

A relaxed structure of SmEr2VN4 (GGA-PBE, Alexandria via LeMat-Bulk).

Magnetic moment, μB/atom: 0.0034
Volume, Å³ per atom: 14.17
Energy relative to the elements, uncorrected, eV/atom: -1.40

abc: 3.3535 11.5953 11.6647
angles: 90.00 90.00 90.00
Closest atoms and distances in Å follow each position.
Space group Cmcm (No. 63)
Inequivalent atoms, fractional coordinates:
1 Sm 0.0000 0.0868 0.2500 x4  2 N 2.50
2 Er 0.0000 0.3705 0.0424 x8  6 N 2.30-2.51
3 V 0.0000 0.1732 0.7500 x4  2 N 1.81
4 N 0.0000 0.0000 0.0000 x4  4 Er 2.30
5 N 0.0000 0.2645 0.6244 x8  1 V 1.81
6 N 0.0000 0.4268 0.2500 x4  2 V 2.04



Entry 8:
# SmErW2N6

A relaxed structure of SmErW2N6 (GGA-PBE, Alexandria via LeMat-Bulk).

Magnetic moment, μB/atom: 0.0000
Volume, Å³ per atom: 16.16
Energy relative to the elements, uncorrected, eV/atom: -0.98

abc: 11.3471 9.6937 6.3932
angles: 90.00 113.20 90.00
Closest atoms and distances in Å follow each position.
Space group C2/c (No. 15)
Inequivalent atoms, fractional coordinates:
1 Sm 0.0000 0.0943 0.2500 x4  6 N 2.34-2.55
2 Er 0.0000 0.2861 0.7500 x4  6 N 2.31-2.48
3 W 0.2090 0.4128 0.2112 x8  4 N 1.80-1.95
4 N 0.1130 0.1123 0.6630 x8  1 W 1.87
5 N 0.1274 0.2491 0.1498 x8  1 W 1.80
6 N 0.1481 0.4829 0.9101 x8  2 W 1.90-1.95



Entry 9:
# SmY2ErN4

A relaxed structure of SmY2ErN4 (GGA-PBE, Alexandria via LeMat-Bulk).

Magnetic moment, μB/atom: 0.0000
Volume, Å³ per atom: 15.09
Energy relative to the elements, uncorrected, eV/atom: -1.65

abc: 6.0517 3.4951 6.0527
angles: 90.00 109.44 90.00
Closest atoms and distances in Å follow each position.
Space group P2/m (No. 10)
Inequivalent atoms, fractional coordinates:
1 Sm 0.0000 0.0000 0.0000 x1  6 N 2.49
2 Y 0.5000 0.0000 0.5000 x1  6 N 2.45
3 Y 0.5000 0.5000 0.0000 x1  6 N 2.48
4 Er 0.0000 0.5000 0.5000 x1  6 N 2.46
5 N 0.2497 0.0000 0.7455 x2  3 Y 2.45-2.48, 2 Er 2.46, 1 Sm 2.49
6 N 0.2530 0.5000 0.2554 x2  3 Y 2.45-2.48, 1 Er 2.46, 2 Sm 2.49



Entry 10:
# SmYErN3

A relaxed structure of SmYErN3 (GGA-PBE, Alexandria via LeMat-Bulk).

Magnetic moment, μB/atom: 0.0000
Volume, Å³ per atom: 15.40
Energy relative to the elements, uncorrected, eV/atom: -1.45

abc: 6.0032 3.4766 9.0357
angles: 90.00 101.57 90.00
Closest atoms and distances in Å follow each position.
Space group P2_1/m (No. 11)
Inequivalent atoms, fractional coordinates:
1 Sm 0.1550 0.2500 0.1973 x2  7 N 2.53-2.70
2 Y 0.2686 0.7500 0.5451 x2  6 N 2.36-2.61
3 Er 0.3502 0.2500 0.8612 x2  5 N 2.25-2.48
4 N 0.0403 0.2500 0.6698 x2  1 Er 2.27, 1 Y 2.40, 2 Sm 2.53
5 N 0.2536 0.7500 0.9937 x2  3 Er 2.25-2.48
6 N 0.4628 0.7500 0.3429 x2  1 Er 2.34, 3 Y 2.36-2.45



Entry 11:
# SmYEr2N4

A relaxed structure of SmYEr2N4 (GGA-PBE, Alexandria via LeMat-Bulk).

Magnetic moment, μB/atom: 0.0000
Volume, Å³ per atom: 14.92
Energy relative to the elements, uncorrected, eV/atom: -1.67

abc: 6.0292 3.4819 6.0311
angles: 90.00 109.44 90.00
Closest atoms and distances in Å follow each position.
Space group P2/m (No. 10)
Inequivalent atoms, fractional coordinates:
1 Sm 0.0000 0.0000 0.0000 x1  6 N 2.49-2.50
2 Y 0.5000 0.5000 0.0000 x1  6 N 2.47
3 Er 0.0000 0.5000 0.5000 x1  6 N 2.45
4 Er 0.5000 0.0000 0.5000 x1  6 N 2.43
5 N 0.2509 0.0000 0.7444 x2  3 Er 2.43-2.45, 2 Y 2.47, 1 Sm 2.49
6 N 0.2554 0.5000 0.2578 x2  3 Er 2.43-2.45, 1 Y 2.47, 2 Sm 2.50



Entry 12:
# SmErZr2N4

A relaxed structure of SmErZr2N4 (GGA-PBE, Alexandria via LeMat-Bulk).

Magnetic moment, μB/atom: 0.0000
Volume, Å³ per atom: 13.56
Energy relative to the elements, uncorrected, eV/atom: -1.68

abc: 5.8162 3.3576 5.8833
angles: 90.00 109.25 90.00
Closest atoms and distances in Å follow each position.
Space group P2/m (No. 10)
Inequivalent atoms, fractional coordinates:
1 Sm 0.0000 0.0000 0.0000 x1  6 N 2.47
2 Er 0.5000 0.5000 0.0000 x1  6 N 2.43-2.44
3 Zr 0.0000 0.5000 0.5000 x1  6 N 2.34
4 Zr 0.5000 0.0000 0.5000 x1  6 N 2.30
5 N 0.2504 0.0000 0.7325 x2  3 Zr 2.30-2.34, 2 Er 2.43, 1 Sm 2.47
6 N 0.2633 0.5000 0.2731 x2  3 Zr 2.30-2.34, 1 Er 2.44, 2 Sm 2.47



> Number 4 is which compound?

SmErTm2N4